1.
Below is crystalline LiZnBiF2 at its relaxed geometry, with properties calculated at the GGA-PBE level.

POSCAR file:
```
LiZnBiF2
1.0
-1.0246 -4.3240 -1.1563
3.6944 0.3159 -4.4547
3.3864 -1.5245 2.7004
Zn Li Bi F
1 1 1 2
Cartesian
1.8472 0.1579 -2.2273
3.0281 -2.7663 -1.4553
0.0000 0.0000 0.0000
1.6932 -0.7623 1.3502
-0.5123 -2.1620 -0.5782
```

E_form (uncorrected), eV/atom: -1.047
Symmetry: P4/mmm

2.
Below is crystalline Y4Zn4Ru at its relaxed geometry, with properties calculated at the GGA-PBE level.

POSCAR file:
```
Y4Zn4Ru
1.0
6.0033 0.0000 0.0000
0.0000 8.3616 0.0000
0.0000 0.0000 8.3616
Y Zn Ru
8 8 2
Cartesian
0.4929 4.2716 1.5616
0.4929 8.2708 2.6192
3.4946 6.8000 0.0908
3.4946 5.7424 4.0900
5.5104 4.0900 6.8000
5.5104 0.0908 5.7424
2.5087 1.5616 8.2707
2.5087 2.6192 4.2716
0.4692 5.4577 4.1856
0.4692 7.0847 8.3568
3.4708 4.1760 1.2769
3.4708 0.0048 2.9039
5.5341 2.9039 4.1760
5.5341 1.2769 0.0048
2.5325 4.1856 7.0847
2.5325 8.3568 5.4577
4.5025 2.0904 2.0904
1.5008 6.2712 6.2712
```

DFT formation energy, meV/atom: -166.5
Symmetry: P4_2/n

3.
Below is crystalline Na2SiAsO4 at its relaxed geometry, with properties calculated at the GGA-PBE level.

POSCAR file:
```
Na2SiAsO4
1.0
-0.5588 -0.5464 -5.1020
4.9356 -0.6233 1.3757
-2.7311 -3.5742 2.5313
Na Si As O
2 1 1 4
Cartesian
2.7396 -1.6342 -0.8864
0.0000 0.0000 0.0000
1.1023 -2.0987 1.9535
-1.0938 -3.1097 -0.3086
0.6243 -2.5289 -1.4897
-0.4654 -1.9563 1.4116
1.3903 -1.4150 -3.8842
1.7424 -3.5876 1.5723
```

E_form (uncorrected), eV/atom: -1.754
Symmetry: I-4

4.
Below is crystalline As2PbS at its relaxed geometry, with properties calculated at the GGA-PBE level.

POSCAR file:
```
As2PbS
1.0
0.0000 3.4992 3.4992
3.4992 0.0000 3.4992
3.4992 3.4992 0.0000
Pb As S
1 2 1
Cartesian
3.4992 3.4992 3.4992
1.7496 1.7496 1.7496
5.2489 5.2489 5.2489
0.0000 0.0000 0.0000
```

E_form (uncorrected), eV/atom: 0.490
Symmetry: Fm-3m